The following is a DFT calculation (GGA-PBEsol) of CuHSCl2 after structural relaxation.

As for the final energy: -2.594 eV per atom. The density of states at the Fermi level is 0.765 states/eV per atom. The crystal system is tetragonal. The value obtained for the total magnetization is 2.6 Bohr magnetons per cell.

The space group is P4/mmm (No. 123) and the conventional cell measures 4.7333, 4.7333 and 4.3918 Å, with angles of 90.00, 90.00 and 90.00 degrees. The inequivalent atoms are Cu at (0.0000, 0.0000, 0.0000), H at (0.5000, 0.5000, 0.5000), S at (0.0000, 0.0000, 0.5000) and Cl at (0.0000, 0.5000, 0.0000).